InBr2O: relaxed, PBE-GGA.

Geometry as POSCAR:
```
InBr2O
1.0
-2.8493 -2.1473 -0.8641
1.4366 -1.4234 6.3095
-5.5187 8.2138 0.7187
In Br O
2 4 2
Direct
0.0242 0.5395 0.5267
0.4482 0.2835 0.7718
0.2378 0.9440 0.5184
0.8636 0.0536 0.8780
0.6821 0.6104 0.0150
0.5267 0.4901 0.2327
0.9964 0.4126 0.7005
0.4519 0.4261 0.4351
```

## Properties
Energy in eV/cell: -28.21
Total magnetic moment in Bohr magnetons per cell: 0.0
Energy relative to the lowest polymorph listed for this composition in eV/atom: 0.064
Raw formation energy in eV per atom: -0.765